[1]
# KNaZnGe (PBE-GGA, relaxed)
# offset from the most stable computed form: 12 meV/atom
data_KNaZnGe
_symmetry_space_group_name_H-M 'A m a 2'
_symmetry_Int_Tables_number 40
_symmetry_space_group_name_Hall 'A 2 -2a'
_cell_length_a 5.907
_cell_length_b 7.695
_cell_length_c 9.889
_cell_angle_alpha 90.00
_cell_angle_beta 90.00
_cell_angle_gamma 90.00
loop_
_atom_site_label
_atom_site_fract_x
_atom_site_fract_y
_atom_site_fract_z
K1 0.250 0.148 0.000
Na1 0.250 0.139 0.349
Zn1 0.000 0.000 0.679
Ge1 0.250 0.252 0.664



[2]
# TmNbAl (PBE-GGA, relaxed)
# offset from the most stable computed form: 342 meV/atom
data_TmNbAl
_symmetry_space_group_name_H-M 'F -4 3 m'
_symmetry_Int_Tables_number 216
_symmetry_space_group_name_Hall 'F -4 2 3'
_cell_length_a 6.813
_cell_length_b 6.813
_cell_length_c 6.813
_cell_angle_alpha 90.00
_cell_angle_beta 90.00
_cell_angle_gamma 90.00
loop_
_atom_site_label
_atom_site_fract_x
_atom_site_fract_y
_atom_site_fract_z
Tm1 0.000 0.000 0.000
Nb1 0.250 0.250 0.250
Al1 0.250 0.250 0.750



[3]
# Sr2ScNbO6 (PBE-GGA, relaxed)
# E: -8.03 eV per atom
data_Sr2ScNbO6
_symmetry_space_group_name_H-M 'P 1 21/c 1'
_symmetry_Int_Tables_number 14
_symmetry_space_group_name_Hall '-P 2ybc'
_cell_length_a 5.709
_cell_length_b 5.716
_cell_length_c 9.868
_cell_angle_alpha 90.00
_cell_angle_beta 125.30
_cell_angle_gamma 90.00
loop_
_atom_site_label
_atom_site_fract_x
_atom_site_fract_y
_atom_site_fract_z
Sr1 0.245 0.024 0.250
Sc1 0.500 0.000 0.000
Nb1 0.000 0.000 0.500
O1 0.180 0.226 0.964
O2 0.237 0.717 0.964
O3 0.313 0.012 0.745



[4]
# Tb (PBE-GGA, relaxed)
# offset from the most stable computed form: 182 meV/atom
# DFT formation energy: 182 meV per atom
data_Tb
_symmetry_space_group_name_H-M 'P 41 3 2'
_symmetry_Int_Tables_number 213
_symmetry_space_group_name_Hall 'P 4bd 2ab 3'
_cell_length_a 8.652
_cell_length_b 8.652
_cell_length_c 8.652
_cell_angle_alpha 90.00
_cell_angle_beta 90.00
_cell_angle_gamma 90.00
loop_
_atom_site_label
_atom_site_fract_x
_atom_site_fract_y
_atom_site_fract_z
Tb1 0.044 0.125 0.794
Tb2 0.061 0.939 0.439



[5]
# KZrTe3Pd (PBE-GGA, relaxed)
# E: -4.90 eV per atom
data_KZrTe3Pd
_symmetry_space_group_name_H-M 'P n m a'
_symmetry_Int_Tables_number 62
_symmetry_space_group_name_Hall '-P 2ac 2n'
_cell_length_a 16.246
_cell_length_b 4.077
_cell_length_c 11.088
_cell_angle_alpha 90.00
_cell_angle_beta 90.00
_cell_angle_gamma 90.00
loop_
_atom_site_label
_atom_site_fract_x
_atom_site_fract_y
_atom_site_fract_z
K1 0.236 0.250 0.046
Zr1 0.020 0.250 0.315
Te1 0.088 0.250 0.570
Te2 0.093 0.750 0.882
Te3 0.143 0.750 0.264
Pd1 0.015 0.750 0.103



[6]
# LuTaBe (PBE-GGA, relaxed)
# offset from the most stable computed form: 0 meV/atom
data_LuTaBe
_symmetry_space_group_name_H-M 'F -4 3 m'
_symmetry_Int_Tables_number 216
_symmetry_space_group_name_Hall 'F -4 2 3'
_cell_length_a 6.426
_cell_length_b 6.426
_cell_length_c 6.426
_cell_angle_alpha 90.00
_cell_angle_beta 90.00
_cell_angle_gamma 90.00
loop_
_atom_site_label
_atom_site_fract_x
_atom_site_fract_y
_atom_site_fract_z
Lu1 0.000 0.000 0.000
Ta1 0.250 0.250 0.750
Be1 0.000 0.000 0.500



[7]
# KIr3S5 (PBE-GGA, relaxed)
# E: -5.60 eV per atom
data_KIr3S5
_symmetry_space_group_name_H-M 'P 6/m m m'
_symmetry_Int_Tables_number 191
_symmetry_space_group_name_Hall '-P 6 2'
_cell_length_a 5.7392
_cell_length_b 5.7392
_cell_length_c 6.8918
_cell_angle_alpha 90.00
_cell_angle_beta 90.00
_cell_angle_gamma 120.00
loop_
_atom_site_label
_atom_site_fract_x
_atom_site_fract_y
_atom_site_fract_z
K1 0.0000 0.0000 0.0000
Ir1 0.0000 0.5000 0.5000
S1 0.0000 0.0000 0.5000
S2 0.3333 0.6667 0.2570



[8]
# Y2ErSn3Pd2Pt (PBE-GGA, relaxed)
# E: -6.08 eV per atom
data_Y2ErSn3Pd2Pt
_symmetry_space_group_name_H-M 'A m m 2'
_symmetry_Int_Tables_number 38
_symmetry_space_group_name_Hall 'A 2 -2'
_cell_length_a 3.942
_cell_length_b 13.121
_cell_length_c 7.598
_cell_angle_alpha 90.00
_cell_angle_beta 90.00
_cell_angle_gamma 90.00
loop_
_atom_site_label
_atom_site_fract_x
_atom_site_fract_y
_atom_site_fract_z
Y1 0.000 0.200 0.000
Er1 0.000 0.000 0.400
Sn1 0.500 0.000 0.062
Sn2 0.500 0.131 0.668
Pd1 0.500 0.165 0.301
Pt1 0.000 0.000 0.798



[9]
# ErZrHg (PBE-GGA, relaxed)
# offset from the most stable computed form: 0 meV/atom
# DFT formation energy: 168 meV per atom
data_ErZrHg
_symmetry_space_group_name_H-M 'F -4 3 m'
_symmetry_Int_Tables_number 216
_symmetry_space_group_name_Hall 'F -4 2 3'
_cell_length_a 6.930
_cell_length_b 6.930
_cell_length_c 6.930
_cell_angle_alpha 90.00
_cell_angle_beta 90.00
_cell_angle_gamma 90.00
loop_
_atom_site_label
_atom_site_fract_x
_atom_site_fract_y
_atom_site_fract_z
Er1 0.000 0.000 0.000
Zr1 0.000 0.000 0.500
Hg1 0.250 0.250 0.250



[10]
# HoFeNiP2 (PBE-GGA, relaxed)
# E: -6.82 eV per atom
data_HoFeNiP2
_symmetry_space_group_name_H-M 'I -4 m 2'
_symmetry_Int_Tables_number 119
_symmetry_space_group_name_Hall 'I -4 -2'
_cell_length_a 3.838
_cell_length_b 3.838
_cell_length_c 9.466
_cell_angle_alpha 90.00
_cell_angle_beta 90.00
_cell_angle_gamma 90.00
loop_
_atom_site_label
_atom_site_fract_x
_atom_site_fract_y
_atom_site_fract_z
Ho1 0.000 0.000 0.000
Fe1 0.000 0.500 0.250
Ni1 0.000 0.500 0.750
P1 0.000 0.000 0.375



[11]
# Dy2TmOsO6 (PBE-GGA, relaxed)
# E: -8.00 eV per atom
data_Dy2TmOsO6
_symmetry_space_group_name_H-M 'P -1'
_symmetry_Int_Tables_number 2
_symmetry_space_group_name_Hall '-P 1'
_cell_length_a 5.098
_cell_length_b 5.454
_cell_length_c 5.461
_cell_angle_alpha 74.45
_cell_angle_beta 68.73
_cell_angle_gamma 88.64
loop_
_atom_site_label
_atom_site_fract_x
_atom_site_fract_y
_atom_site_fract_z
Dy1 0.120 0.425 0.223
Tm1 0.500 0.000 0.000
Os1 0.500 0.500 0.500
O1 0.201 0.271 0.866
O2 0.209 0.742 0.377
O3 0.464 0.717 0.779



[12]
# Pr3N2O (PBE-GGA, relaxed)
# E: -7.84 eV per atom
data_Pr3N2O
_symmetry_space_group_name_H-M 'P -3 m 1'
_symmetry_Int_Tables_number 164
_symmetry_space_group_name_Hall '-P 3 2"'
_cell_length_a 3.6389
_cell_length_b 3.6389
_cell_length_c 8.9619
_cell_angle_alpha 90.00
_cell_angle_beta 90.00
_cell_angle_gamma 120.00
loop_
_atom_site_label
_atom_site_fract_x
_atom_site_fract_y
_atom_site_fract_z
Pr1 0.0000 0.0000 0.0000
Pr2 0.3333 0.6667 0.3260
N1 0.3333 0.6667 0.8241
O1 0.0000 0.0000 0.5000



Number 8 is which compound? Y2ErSn3Pd2Pt